1.
# BiAu2Se PBE relaxed
# ρ = 10.23 g cm⁻³
# uncorrected formation energy = 0.4 eV/f.u.
# crystal system = tetragonal
data_BiAu2Se
_chemical_formula_sum 'Bi4 Au8 Se4'
_space_group_name_H-M_alt 'I -4 2 d'
_space_group_IT_number 122
_space_group_name_Hall 'I -4 2bw'
_cell_length_a 6.908
_cell_length_b 6.908
_cell_length_c 9.279
_cell_angle_alpha 90.00
_cell_angle_beta 90.00
_cell_angle_gamma 90.00
loop_
_atom_site_label
_atom_site_fract_x
_atom_site_fract_y
_atom_site_fract_z
Bi1 0.000 0.000 0.000
Au1 0.224 0.250 0.625
Se1 0.000 0.000 0.500



2.
# Bi2AuSe PBE relaxed
# ρ = 10.57 g cm⁻³
# uncorrected formation energy = -0.3 eV/f.u.
# crystal system = trigonal
data_Bi2AuSe
_chemical_formula_sum 'Bi6 Au3 Se3'
_space_group_name_H-M_alt 'R 3 m'
_space_group_IT_number 160
_space_group_name_Hall 'R 3 -2"'
_cell_length_a 3.9941
_cell_length_b 3.9941
_cell_length_c 23.6666
_cell_angle_alpha 90.00
_cell_angle_beta 90.00
_cell_angle_gamma 120.00
loop_
_atom_site_label
_atom_site_fract_x
_atom_site_fract_y
_atom_site_fract_z
Bi1 0.0000 0.0000 0.0000
Bi2 0.0000 0.0000 0.1775
Au1 0.0000 0.0000 0.5892
Se1 0.0000 0.0000 0.4185



3.
# BiAuSe2 PBE relaxed
# ρ = 8.04 g cm⁻³
# uncorrected formation energy = -0.6 eV/f.u.
# crystal system = orthorhombic
data_BiAuSe2
_chemical_formula_sum 'Bi4 Au4 Se8'
_space_group_name_H-M_alt 'P n a 21'
_space_group_IT_number 33
_cell_length_a 8.171
_cell_length_b 8.325
_cell_length_c 6.850
_cell_angle_alpha 90.00
_cell_angle_beta 90.00
_cell_angle_gamma 90.00
loop_
_space_group_symop_operation_xyz
'x,y,z'
'-x,-y,z+1/2'
'-x+1/2,y+1/2,z+1/2'
'x+1/2,-y+1/2,z'
loop_
_atom_site_label
_atom_site_fract_x
_atom_site_fract_y
_atom_site_fract_z
Bi1 0.159 0.068 0.000
Au1 0.169 0.658 0.111
Se1 0.005 0.356 0.911
Se2 0.094 0.179 0.386



4.
# BiAuSe2 PBE relaxed
# ρ = 7.27 g cm⁻³
# uncorrected formation energy = -0.3 eV/f.u.
# crystal system = tetragonal
data_BiAuSe2
_chemical_formula_sum 'Bi4 Au4 Se8'
_space_group_name_H-M_alt 'I -4 2 d'
_space_group_IT_number 122
_space_group_name_Hall 'I -4 2bw'
_cell_length_a 6.272
_cell_length_b 6.272
_cell_length_c 13.093
_cell_angle_alpha 90.00
_cell_angle_beta 90.00
_cell_angle_gamma 90.00
loop_
_atom_site_label
_atom_site_fract_x
_atom_site_fract_y
_atom_site_fract_z
Bi1 0.000 0.000 0.000
Au1 0.000 0.000 0.500
Se1 0.219 0.250 0.625



5.
# Bi2Au2Se PBE relaxed
# ρ = 11.41 g cm⁻³
# uncorrected formation energy = 0.2 eV/f.u.
# energy above the most stable polymorph in this dataset = 37 meV per atom
# crystal system = tetragonal
data_Bi2Au2Se
_chemical_formula_sum 'Bi4 Au4 Se2'
_space_group_name_H-M_alt 'P 4/m b m'
_space_group_IT_number 127
_space_group_name_Hall '-P 4 2ab'
_cell_length_a 8.209
_cell_length_b 8.209
_cell_length_c 3.848
_cell_angle_alpha 90.00
_cell_angle_beta 90.00
_cell_angle_gamma 90.00
loop_
_atom_site_label
_atom_site_fract_x
_atom_site_fract_y
_atom_site_fract_z
Bi1 0.194 0.306 0.000
Au1 0.119 0.619 0.500
Se1 0.000 0.000 0.000



6.
# Bi2Au2Se PBE relaxed
# ρ = 12.10 g cm⁻³
# uncorrected formation energy = 0.4 eV/f.u.
# energy above the most stable polymorph in this dataset = 81 meV per atom
# crystal system = tetragonal
data_Bi2Au2Se
_chemical_formula_sum 'Bi4 Au4 Se2'
_space_group_name_H-M_alt 'P 4/m b m'
_space_group_IT_number 127
_space_group_name_Hall '-P 4 2ab'
_cell_length_a 7.717
_cell_length_b 7.717
_cell_length_c 4.106
_cell_angle_alpha 90.00
_cell_angle_beta 90.00
_cell_angle_gamma 90.00
loop_
_atom_site_label
_atom_site_fract_x
_atom_site_fract_y
_atom_site_fract_z
Bi1 0.168 0.332 0.000
Au1 0.132 0.632 0.500
Se1 0.000 0.000 0.500